VASP calculation (GGA+U) on a relaxed MnGeO crystal.

The structure in CIF format:
```
data_MnGeO
_chemical_formula_sum 'Mn2 Ge2 O2'
_cell_length_a 4.8357
_cell_length_b 3.1218
_cell_length_c 6.0098
_cell_angle_alpha 90.00
_cell_angle_beta 90.02
_cell_angle_gamma 90.00
_space_group_name_H-M_alt 'P 1'
_space_group_IT_number 1
_space_group_name_Hall 'P 1'
loop_
_atom_site_label
_atom_site_type_symbol
_atom_site_fract_x
_atom_site_fract_y
_atom_site_fract_z
Mn1 Mn 0.8819 0.5000 0.0232
Mn2 Mn 0.3817 0.0000 0.6712
Ge1 Ge 0.4630 0.0000 0.2082
Ge2 Ge 0.9626 0.5000 0.4863
O1 O 0.6742 0.5000 0.7112
O2 O 0.1744 0.0000 0.9833
```

Output
**Total DFT energy (no corrections)**: -38.81 eV/cell
**E above lowest polymorph**: 0.0417 eV/atom
**Magnetic moment**: 8.32 μB/cell
**Symmetry**: Pmn2_1 (31)